# 1
Computed, not measured: a relaxed structure of Er4Cd3Ga at the PBE-GGA level of DFT.

It has space group P4/mmm (No. 123), with a = 3.648 Å, b = 3.648 Å, c = 14.830 Å, α = 90.00°, β = 90.00° and γ = 90.00°. The inequivalent atoms are Er at (0.000, 0.000, 0.115), Er at (0.000, 0.000, 0.371), Cd at (0.500, 0.500, 0.245), Cd at (0.500, 0.500, 0.500) and Ga at (0.500, 0.500, 0.000).

The formation energy is -3.0 eV per formula unit.

# 2
Computed, not measured: a relaxed structure of Sc2TaTc at the PBE-GGA level of DFT.

It has space group I4/mmm (No. 139), with a = 3.939 Å, b = 3.939 Å, c = 9.586 Å, α = 90.00°, β = 90.00° and γ = 90.00°. The inequivalent atoms are Sc at (0.000, 0.500, 0.250), Ta at (0.000, 0.000, 0.000) and Tc at (0.000, 0.000, 0.500).

The formation energy is 0.4 eV per formula unit. For the energy above the most stable polymorph in this dataset, the calculation gives 26.5 kJ/mol of atoms.

# 3
Computed, not measured: a relaxed structure of In3Fe at the PBE-GGA level of DFT.

It has space group C2/m (No. 12), with a = 14.050 Å, b = 2.914 Å, c = 4.583 Å, α = 90.00°, β = 108.96° and γ = 90.00°. The inequivalent atoms are In at (0.000, 0.000, 0.000), In at (0.180, 0.000, 0.680) and Fe at (0.000, 0.500, 0.500).

The formation energy is 0.7 eV per formula unit.

# 4
Computed, not measured: a relaxed structure of TaZn3Cr at the PBE-GGA level of DFT.

It has space group Pm-3m (No. 221), with a = 5.002 Å, b = 5.002 Å, c = 5.002 Å, α = 90.00°, β = 90.00° and γ = 90.00°. The inequivalent atoms are Ta at (0.000, 0.000, 0.000), Zn at (0.000, 0.000, 0.500) and Cr at (0.500, 0.500, 0.500).

The formation energy is 6.8 eV per formula unit. For the energy above the most stable polymorph in this dataset, the calculation gives 11.6 kJ/mol of atoms.

# 5
Computed, not measured: a relaxed structure of LaSm3Y6Th2 at the PBE-GGA level of DFT.

It has space group C2/m (No. 12), with a = 6.261 Å, b = 10.842 Å, c = 11.806 Å, α = 90.00°, β = 100.22° and γ = 90.00°. The inequivalent atoms are La at (0.000, 0.000, 0.000), Sm at (0.000, 0.166, 0.500), Sm at (0.000, 0.500, 0.500), Y at (0.244, 0.500, 0.247), Y at (0.248, 0.331, 0.753) and Th at (0.000, 0.333, 0.000).

The formation energy is 0.3 eV per formula unit.

# 6
Computed, not measured: a relaxed structure of Ni2S2Cl at the PBE-GGA level of DFT.

It has space group I4/mmm (No. 139), with a = 3.354 Å, b = 3.354 Å, c = 13.959 Å, α = 90.00°, β = 90.00° and γ = 90.00°. The inequivalent atoms are Ni at (0.000, 0.000, 0.163), S at (0.000, 0.000, 0.321) and Cl at (0.000, 0.000, 0.000).

The formation energy from raw total energies comes out at -0.307 eV/atom.

For the records above, the corresponding E values read -3.383; -8.630; -4.004; -3.696; -6.035; -4.639 eV per atom.